1.
An optimized crystal structure of K3LiRh3O8. Source: the Alexandria database, functional GGA-PBE.

Structure (CIF):
```
data_K3LiRh3O8
_cell_length_a 6.2839
_cell_length_b 6.2839
_cell_length_c 17.7971
_cell_angle_alpha 90.00
_cell_angle_beta 90.00
_cell_angle_gamma 120.00
_symmetry_space_group_name_H-M 'R -3 m'
_symmetry_Int_Tables_number 166
_symmetry_space_group_name_Hall '-R 3 2"'
loop_
_atom_site_label
_atom_site_fract_x
_atom_site_fract_y
_atom_site_fract_z
K1 0.0000 0.5000 0.0000
Li1 0.0000 0.0000 0.5000
Rh1 0.0000 0.5000 0.5000
O1 0.0000 0.0000 0.2253
O2 0.0226 0.5113 0.7774
```

Properties
D(E_F) = 27.91 states/eV/cell
spin magnetization = 2.972 μB/cell
DFT total energy = -5.57 eV/atom
formation energy (no corrections) = -16.7 eV/f.u.

***

2.
An optimized crystal structure of LaCdIr2Rh. Source: the Alexandria database, functional GGA-PBE.

Structure (CIF):
```
data_LaCdIr2Rh
_cell_length_a 5.013
_cell_length_b 5.013
_cell_length_c 4.879
_cell_angle_alpha 90.00
_cell_angle_beta 90.00
_cell_angle_gamma 90.00
_symmetry_space_group_name_H-M 'P 4/m m m'
_symmetry_Int_Tables_number 123
_symmetry_space_group_name_Hall '-P 4 2'
loop_
_atom_site_label
_atom_site_fract_x
_atom_site_fract_y
_atom_site_fract_z
La1 0.000 0.000 0.000
Cd1 0.500 0.500 0.500
Ir1 0.000 0.500 0.000
Rh1 0.000 0.000 0.500
```

Properties
energy of formation from the pure elements = 1.43 eV per atom
D(E_F) = 3.59 states/eV/cell
spin magnetization = 0.000 μB/cell
DFT total energy = -4.75 eV/atom

***

3.
An optimized crystal structure of GdHoScCu. Source: the Alexandria database, functional GGA-PBE.

Structure (CIF):
```
data_GdHoScCu
_cell_length_a 7.299
_cell_length_b 7.299
_cell_length_c 7.299
_cell_angle_alpha 90.00
_cell_angle_beta 90.00
_cell_angle_gamma 90.00
_symmetry_space_group_name_H-M 'F -4 3 m'
_symmetry_Int_Tables_number 216
_symmetry_space_group_name_Hall 'F -4 2 3'
loop_
_atom_site_label
_atom_site_fract_x
_atom_site_fract_y
_atom_site_fract_z
Gd1 0.000 0.000 0.000
Ho1 0.000 0.000 0.500
Sc1 0.250 0.250 0.750
Cu1 0.250 0.250 0.250
```

Properties
energy of formation from the pure elements = 0.12 eV per atom
D(E_F) = 15.60 states/eV/cell
spin magnetization = 29.088 μB/cell
DFT total energy = -7.15 eV/atom

***

4.
An optimized crystal structure of RbYBi2Sb. Source: the Alexandria database, functional GGA-PBE.

Structure (CIF):
```
data_RbYBi2Sb
_cell_length_a 5.967
_cell_length_b 5.967
_cell_length_c 6.043
_cell_angle_alpha 90.00
_cell_angle_beta 90.00
_cell_angle_gamma 90.00
_symmetry_space_group_name_H-M 'P 4/m m m'
_symmetry_Int_Tables_number 123
_symmetry_space_group_name_Hall '-P 4 2'
loop_
_atom_site_label
_atom_site_fract_x
_atom_site_fract_y
_atom_site_fract_z
Rb1 0.000 0.000 0.000
Y1 0.500 0.500 0.000
Bi1 0.000 0.500 0.500
Sb1 0.000 0.000 0.500
```

Properties
D(E_F) = 5.84 states/eV/cell
spin magnetization = 0.000 μB/cell
DFT total energy = -3.33 eV/atom
formation energy (no corrections) = 2.7 eV/f.u.

***

5.
An optimized crystal structure of Cd2InTc. Source: the Alexandria database, functional GGA-PBE.

Structure (CIF):
```
data_Cd2InTc
_cell_length_a 2.992
_cell_length_b 4.281
_cell_length_c 6.090
_cell_angle_alpha 90.00
_cell_angle_beta 90.00
_cell_angle_gamma 90.00
_symmetry_space_group_name_H-M 'P m m 2'
_symmetry_Int_Tables_number 25
_symmetry_space_group_name_Hall 'P 2 -2'
loop_
_atom_site_label
_atom_site_fract_x
_atom_site_fract_y
_atom_site_fract_z
Cd1 0.000 0.000 0.000
Cd2 0.500 0.500 0.245
In1 0.000 0.000 0.536
Tc1 0.500 0.500 0.746
```

Properties
energy of formation from the pure elements = 0.34 eV per atom
D(E_F) = 3.17 states/eV/cell
spin magnetization = 0.001 μB/cell
DFT total energy = -3.39 eV/atom

***

6.
An optimized crystal structure of TlFe2Os. Source: the Alexandria database, functional GGA-PBE.

Structure (CIF):
```
data_TlFe2Os
_cell_length_a 6.217
_cell_length_b 6.217
_cell_length_c 6.217
_cell_angle_alpha 90.00
_cell_angle_beta 90.00
_cell_angle_gamma 90.00
_symmetry_space_group_name_H-M 'F m -3 m'
_symmetry_Int_Tables_number 225
_symmetry_space_group_name_Hall '-F 4 2 3'
loop_
_atom_site_label
_atom_site_fract_x
_atom_site_fract_y
_atom_site_fract_z
Tl1 0.000 0.000 0.000
Fe1 0.250 0.250 0.250
Os1 0.000 0.000 0.500
```

Properties
E above lowest polymorph = 0.162 eV/atom
energy of formation from the pure elements = 0.68 eV per atom
D(E_F) = 14.45 states/eV/cell
spin magnetization = 23.373 μB/cell
DFT total energy = -6.95 eV/atom

***

7.
An optimized crystal structure of BaPPb. Source: the Alexandria database, functional GGA-PBE.

Structure (CIF):
```
data_BaPPb
_cell_length_a 3.912
_cell_length_b 3.912
_cell_length_c 11.850
_cell_angle_alpha 90.00
_cell_angle_beta 90.00
_cell_angle_gamma 90.00
_symmetry_space_group_name_H-M 'I 4 m m'
_symmetry_Int_Tables_number 107
_symmetry_space_group_name_Hall 'I 4 -2'
loop_
_atom_site_label
_atom_site_fract_x
_atom_site_fract_y
_atom_site_fract_z
Ba1 0.000 0.000 0.000
P1 0.000 0.000 0.691
Pb1 0.000 0.000 0.283
```

Properties
E above lowest polymorph = 0.320 eV/atom
energy of formation from the pure elements = -0.34 eV per atom
D(E_F) = 3.12 states/eV/cell
spin magnetization = 0.000 μB/cell
DFT total energy = -4.02 eV/atom

***

8.
An optimized crystal structure of ScMo3W. Source: the Alexandria database, functional GGA-PBE.

Structure (CIF):
```
data_ScMo3W
_cell_length_a 13.484
_cell_length_b 5.193
_cell_length_c 4.896
_cell_angle_alpha 90.00
_cell_angle_beta 90.00
_cell_angle_gamma 90.00
_symmetry_space_group_name_H-M 'P n n a'
_symmetry_Int_Tables_number 52
_symmetry_space_group_name_Hall '-P 2a 2bc'
loop_
_atom_site_label
_atom_site_fract_x
_atom_site_fract_y
_atom_site_fract_z
Sc1 0.250 0.000 0.132
Mo1 0.050 0.250 0.250
Mo2 0.143 0.502 0.822
W1 0.050 0.750 0.250
```

Properties
E above lowest polymorph = 0.000 eV/atom
energy of formation from the pure elements = 0.42 eV per atom
D(E_F) = 21.82 states/eV/cell
spin magnetization = 0.000 μB/cell
DFT total energy = -9.94 eV/atom

***

9.
An optimized crystal structure of ZnTe. Source: the Alexandria database, functional GGA-PBE.

Structure (CIF):
```
data_ZnTe
_cell_length_a 15.562
_cell_length_b 4.354
_cell_length_c 7.538
_cell_angle_alpha 90.00
_cell_angle_beta 93.94
_cell_angle_gamma 90.00
_symmetry_space_group_name_H-M 'C 1 m 1'
_symmetry_Int_Tables_number 8
_symmetry_space_group_name_Hall 'C -2y'
loop_
_atom_site_label
_atom_site_fract_x
_atom_site_fract_y
_atom_site_fract_z
Zn1 0.000 0.000 0.000
Zn2 0.054 0.500 0.541
Zn3 0.390 0.000 0.128
Te1 0.061 0.500 0.194
Te2 0.090 0.000 0.716
Te3 0.323 0.500 0.996
```

Properties
spin magnetization = 0.000 μB/cell
DFT total energy = -2.46 eV/atom
formation energy (no corrections) = -0.5 eV/f.u.